Entry 1:
# Ac2TbPr4Ho | the Alexandria database | PBE | relaxed
data_Ac2TbPr4Ho
_chemical_formula_sum 'Ac2 Tb1 Pr4 Ho1'
_space_group_name_H-M_alt 'P 1'
_space_group_IT_number 1
_space_group_name_Hall 'P 1'
_cell_length_a 3.765
_cell_length_b 6.403
_cell_length_c 12.474
_cell_angle_alpha 79.60
_cell_angle_beta 90.00
_cell_angle_gamma 90.00
loop_
_atom_site_label
_atom_site_fract_x
_atom_site_fract_y
_atom_site_fract_z
Pr1 0.500 0.255 0.747
Pr2 0.500 0.745 0.253
Pr3 0.000 0.254 0.247
Pr4 0.000 0.746 0.753
Tb1 0.500 0.500 0.000
Ac1 0.500 0.000 0.500
Ac2 0.000 0.000 0.000
Ho1 0.000 0.500 0.500
# Theoretical density in g/cm3: 7.53
# Calculated volume in Å³ per atom: 37.0
# Calculated formation energy in eV per atom: 0.03
# Space-group type: P2/m
# D(E_F) in states/eV/atom: 1.535


Entry 2:
# BaBiH8Rh2 | the Alexandria database | PBE | relaxed
data_BaBiH8Rh2
_chemical_formula_sum 'Ba1 Bi1 H8 Rh2'
_space_group_name_H-M_alt 'P 1'
_space_group_IT_number 1
_space_group_name_Hall 'P 1'
_cell_length_a 5.219
_cell_length_b 5.219
_cell_length_c 6.917
_cell_angle_alpha 67.84
_cell_angle_beta 67.84
_cell_angle_gamma 60.00
loop_
_atom_site_label
_atom_site_fract_x
_atom_site_fract_y
_atom_site_fract_z
Rh1 0.306 0.306 0.081
Rh2 0.694 0.694 0.919
H1 0.500 0.459 0.134
H2 0.541 0.093 0.866
H3 0.907 0.500 0.134
H4 0.093 0.500 0.866
H5 0.785 0.785 0.645
H6 0.215 0.215 0.355
H7 0.500 0.541 0.866
H8 0.459 0.907 0.134
Bi1 0.000 0.000 0.000
Ba1 0.500 0.500 0.500
# Theoretical density in g/cm3: 6.33
# Calculated volume in Å³ per atom: 12.2
# Calculated total energy in eV/atom: -4.047
# Space-group type: R-3
# D(E_F) in states/eV/atom: 0.310


Entry 3:
# CeSm4N5 | the Alexandria database | PBE | relaxed
data_CeSm4N5
_chemical_formula_sum 'Ce1 Sm4 N5'
_space_group_name_H-M_alt 'P 1'
_space_group_IT_number 1
_space_group_name_Hall 'P 1'
_cell_length_a 5.064
_cell_length_b 6.197
_cell_length_c 6.197
_cell_angle_alpha 80.39
_cell_angle_beta 65.88
_cell_angle_gamma 65.88
loop_
_atom_site_label
_atom_site_fract_x
_atom_site_fract_y
_atom_site_fract_z
Ce1 0.001 0.000 0.000
Sm1 0.400 0.401 0.800
Sm2 0.200 0.200 0.401
Sm3 0.602 0.599 0.200
Sm4 0.802 0.800 0.599
N1 0.710 0.196 0.387
N2 0.905 0.387 0.804
N3 0.292 0.804 0.613
N4 0.097 0.613 0.196
N5 0.501 0.000 0.000
# Theoretical density in g/cm3: 8.32
# Calculated volume in Å³ per atom: 16.2
# Raw formation energy in eV/atom: -1.51
# Space-group type: I4/m
# D(E_F) in states/eV/atom: 0.257


Entry 4:
# PmZn2Pb | the Alexandria database | PBE | relaxed
data_PmZn2Pb
_chemical_formula_sum 'Pm1 Zn2 Pb1'
_space_group_name_H-M_alt 'P 1'
_space_group_IT_number 1
_space_group_name_Hall 'P 1'
_cell_length_a 4.501
_cell_length_b 5.881
_cell_length_c 4.724
_cell_angle_alpha 128.49
_cell_angle_beta 90.00
_cell_angle_gamma 90.00
loop_
_atom_site_label
_atom_site_fract_x
_atom_site_fract_y
_atom_site_fract_z
Pm1 0.500 0.804 0.608
Zn1 0.500 0.233 0.466
Zn2 0.000 0.084 0.167
Pb1 0.000 0.483 0.965
# Theoretical density in g/cm3: 8.19
# Calculated volume in Å³ per atom: 24.5
# Calculated formation energy in eV per atom: -0.15
# Space-group type: Amm2
# D(E_F) in states/eV/atom: 0.675


Entry 5:
# SiMoAu2 | the Alexandria database | PBE | relaxed
data_SiMoAu2
_chemical_formula_sum 'Si2 Mo2 Au4'
_space_group_name_H-M_alt 'P 1'
_space_group_IT_number 1
_space_group_name_Hall 'P 1'
_cell_length_a 3.733
_cell_length_b 3.733
_cell_length_c 10.449
_cell_angle_alpha 79.71
_cell_angle_beta 79.71
_cell_angle_gamma 90.00
loop_
_atom_site_label
_atom_site_fract_x
_atom_site_fract_y
_atom_site_fract_z
Mo1 0.000 0.000 0.000
Mo2 0.750 0.250 0.500
Au1 0.875 0.875 0.750
Au2 0.125 0.625 0.250
Au3 0.625 0.125 0.250
Au4 0.375 0.375 0.750
Si1 0.250 0.750 0.500
Si2 0.500 0.500 0.000
# Theoretical density in g/cm3: 12.21
# Calculated volume in Å³ per atom: 17.6
# Raw formation energy in eV/atom: 0.38
# Space-group type: I-42d
# D(E_F) in states/eV/atom: 0.433


Entry 6:
# Zr2TaW | the Alexandria database | PBE | relaxed
data_Zr2TaW
_chemical_formula_sum 'Zr2 Ta1 W1'
_space_group_name_H-M_alt 'P 1'
_space_group_IT_number 1
_space_group_name_Hall 'P 1'
_cell_length_a 5.691
_cell_length_b 5.691
_cell_length_c 5.691
_cell_angle_alpha 145.63
_cell_angle_beta 129.16
_cell_angle_gamma 62.82
loop_
_atom_site_label
_atom_site_fract_x
_atom_site_fract_y
_atom_site_fract_z
Ta1 0.525 0.525 0.000
Zr1 0.252 0.752 0.500
Zr2 0.985 0.985 0.000
W1 0.738 0.238 0.500
# Theoretical density in g/cm3: 11.38
# Calculated volume in Å³ per atom: 20.0
# Calculated formation energy in eV per atom: 0.08
# Space-group type: Imm2
# D(E_F) in states/eV/atom: 1.223